{"formula": "PIrRh2", "functional": "SCAN", "state": "PBEsol geometry", "cell": [[3.787, 0.000, 0.000], [0.000, 3.787, 0.000], [-1.893, -1.893, 3.709]], "species": ["Ir", "P", "Rh", "Rh"], "frac_coords": [[0.500, 0.500, 0.000], [0.000, 0.000, 0.000], [0.750, 0.250, 0.500], [0.250, 0.750, 0.500]]}

---

{"formula": "PIrRh2", "functional": "SCAN", "state": "PBEsol geometry", "cell": [[2.791, 0.000, 0.000], [0.000, 4.150, 0.000], [-1.395, -2.075, 4.639]], "species": ["Ir", "P", "Rh", "Rh"], "frac_coords": [[0.550, 0.550, 0.101], [0.250, 0.750, 0.499], [0.947, 0.947, 0.895], [0.753, 0.253, 0.505]]}

---

{"formula": "PIrRh2", "functional": "SCAN", "state": "PBEsol geometry", "cell": [[-0.604, -1.409, -2.306], [0.246, -2.758, -0.042], [-7.688, -2.100, 1.636]], "species": ["Ir", "P", "Rh", "Rh"], "frac_coords": [[0.500, 0.500, 0.500], [0.000, 0.000, 0.000], [0.261, 0.261, 0.218], [0.739, 0.739, 0.782]]}

---

{"formula": "PIr2Ru", "functional": "SCAN", "state": "PBEsol geometry", "cell": [[2.771, 0.000, 0.000], [0.000, 2.771, 0.000], [0.000, 0.000, 6.947]], "species": ["Ir", "Ir", "P", "Ru"], "frac_coords": [[0.000, 0.000, 0.772], [0.000, 0.000, 0.228], [0.500, 0.500, 0.000], [0.500, 0.500, 0.500]]}

---

{"formula": "PIr4Ru", "functional": "SCAN", "state": "PBEsol geometry", "cell": [[5.091, 0.000, 0.000], [2.545, 4.409, 0.000], [2.545, 1.470, 4.157]], "species": ["Ir", "Ir", "Ir", "Ir", "P", "Ru"], "frac_coords": [[0.375, 0.375, 0.375], [0.375, 0.375, 0.876], [0.876, 0.375, 0.375], [0.375, 0.876, 0.375], [0.750, 0.750, 0.750], [0.000, 0.000, 0.000]]}

---

{"formula": "PIr2Ru", "functional": "SCAN", "state": "PBEsol geometry", "cell": [[-1.484, 1.504, 1.690], [-1.239, -1.632, -1.801], [0.067, -6.429, 5.781]], "species": ["Ir", "Ir", "P", "Ru"], "frac_coords": [[0.000, 0.000, 0.732], [0.000, 0.000, 0.268], [0.500, 0.000, 0.500], [0.500, 0.000, 0.000]]}

---

{"formula": "PIr2Ru", "functional": "SCAN", "state": "PBEsol geometry", "cell": [[-0.770, -3.031, 2.910], [-0.056, -4.111, -1.161], [3.142, -2.614, 1.244]], "species": ["Ir", "Ir", "P", "Ru"], "frac_coords": [[0.000, 0.000, 0.000], [0.750, 0.750, 0.750], [0.500, 0.500, 0.500], [0.250, 0.250, 0.250]]}

---

{"formula": "PIr2Ru", "functional": "SCAN", "state": "PBEsol geometry", "cell": [[2.795, 0.000, 0.000], [0.000, 4.226, 0.000], [-1.397, -2.113, 4.542]], "species": ["Ir", "Ir", "P", "Ru"], "frac_coords": [[0.999, 0.999, 0.997], [0.795, 0.295, 0.590], [0.502, 0.502, 0.005], [0.204, 0.704, 0.408]]}

---

Number 1: DOS at the Fermi energy 1.17 states/eV per atom, energy -37.168 eV/atom. Number 2: DOS at the Fermi energy 0.52 states/eV per atom, energy -37.531 eV/atom. Number 3: DOS at the Fermi energy 0.86 states/eV per atom, energy -37.466 eV/atom. Number 4: DOS at the Fermi energy 1.05 states/eV per atom, energy -46.736 eV/atom. Number 5: DOS at the Fermi energy 0.96 states/eV per atom, energy -54.004 eV/atom. Number 6: DOS at the Fermi energy 0.73 states/eV per atom, energy -46.436 eV/atom. Number 7: DOS at the Fermi energy 0.85 states/eV per atom, energy -46.453 eV/atom. Number 8: DOS at the Fermi energy 0.59 states/eV per atom, energy -46.931 eV/atom.